Compound: La2HfV
Source: the Alexandria database
Functional: PBE
Structure: relaxed

Summary:
For the energy of formation, the calculation gives 754 meV per atom. The density comes out at 7.60 g cm⁻³. For the calculated volume, the calculation gives 443 Å³ per cell. The total magnetic moment comes out at 9.5 Bohr magnetons per cell. The calculation puts the density of states at the Fermi level at 22.37 states/eV/cell. Its uncorrected energy is -103.6 eV for the cell shown. The relative energy among the computed polymorphs comes out at 1.18 eV/f.u.

Cell and atoms, written as CIF:
```
data_La2HfV
_symmetry_space_group_name_H-M 'I -4 2 d'
_symmetry_Int_Tables_number 122
_symmetry_space_group_name_Hall 'I -4 2bw'
_cell_length_a 8.479
_cell_length_b 8.479
_cell_length_c 6.169
_cell_angle_alpha 90.00
_cell_angle_beta 90.00
_cell_angle_gamma 90.00
loop_
_atom_site_label
_atom_site_fract_x
_atom_site_fract_y
_atom_site_fract_z
La1 0.206 0.250 0.125
Hf1 0.000 0.000 0.500
V1 0.000 0.000 0.000
```


Compound: TiZnF2
Source: the Alexandria database
Functional: PBE
Structure: relaxed

Summary:
For the raw formation energy, the calculation gives -1.64 eV/atom. The density comes out at 3.16 g cm⁻³. For the calculated volume, the calculation gives 318 Å³ per cell. The total magnetic moment comes out at 8.0 Bohr magnetons per cell. The calculation puts the density of states at the Fermi level at 9.04 states/eV/cell. Its uncorrected energy is -77.8 eV for the cell shown. The relative energy among the computed polymorphs comes out at 1.26 eV/f.u.

Cell and atoms, written as CIF:
```
data_TiZnF2
_symmetry_space_group_name_H-M 'I -4 2 d'
_symmetry_Int_Tables_number 122
_symmetry_space_group_name_Hall 'I -4 2bw'
_cell_length_a 5.146
_cell_length_b 5.146
_cell_length_c 12.006
_cell_angle_alpha 90.00
_cell_angle_beta 90.00
_cell_angle_gamma 90.00
loop_
_atom_site_label
_atom_site_fract_x
_atom_site_fract_y
_atom_site_fract_z
Ti1 0.000 0.000 0.000
Zn1 0.000 0.000 0.500
F1 0.041 0.250 0.125
```


Compound: CuNiMo2
Source: the Alexandria database
Functional: PBE
Structure: relaxed

Summary:
For the energy of formation, the calculation gives 612 meV per atom. The density comes out at 8.92 g cm⁻³. For the calculated volume, the calculation gives 234 Å³ per cell. The total magnetic moment comes out at 0.0 Bohr magnetons per cell. The calculation puts the density of states at the Fermi level at 13.96 states/eV/cell. Its uncorrected energy is -116.4 eV for the cell shown.

Cell and atoms, written as CIF:
```
data_CuNiMo2
_symmetry_space_group_name_H-M 'I -4 2 d'
_symmetry_Int_Tables_number 122
_symmetry_space_group_name_Hall 'I -4 2bw'
_cell_length_a 6.834
_cell_length_b 6.834
_cell_length_c 5.010
_cell_angle_alpha 90.00
_cell_angle_beta 90.00
_cell_angle_gamma 90.00
loop_
_atom_site_label
_atom_site_fract_x
_atom_site_fract_y
_atom_site_fract_z
Cu1 0.000 0.000 0.000
Ni1 0.000 0.000 0.500
Mo1 0.235 0.750 0.625
```


Compound: CoMo2As
Source: the Alexandria database
Functional: PBE
Structure: relaxed

Summary:
For the energy of formation, the calculation gives 195 meV per atom. The density comes out at 9.43 g cm⁻³. For the calculated volume, the calculation gives 115 Å³ per cell. The total magnetic moment comes out at 1.5 Bohr magnetons per cell. The calculation puts the density of states at the Fermi level at 8.61 states/eV/cell. Its uncorrected energy is -65.3 eV for the cell shown.

Cell and atoms, written as CIF:
```
data_CoMo2As
_symmetry_space_group_name_H-M 'C m m m'
_symmetry_Int_Tables_number 65
_symmetry_space_group_name_Hall '-C 2 2'
_cell_length_a 5.108
_cell_length_b 7.692
_cell_length_c 2.918
_cell_angle_alpha 90.00
_cell_angle_beta 90.00
_cell_angle_gamma 90.00
loop_
_atom_site_label
_atom_site_fract_x
_atom_site_fract_y
_atom_site_fract_z
Co1 0.000 0.000 0.000
Mo1 0.250 0.250 0.500
As1 0.000 0.500 0.000
```


Compound: CaMg2MnH8
Source: the Alexandria database
Functional: PBE
Structure: relaxed

Summary:
The density comes out at 2.23 g cm⁻³. For the calculated volume, the calculation gives 113 Å³ per cell. The total magnetic moment comes out at 1.0 Bohr magnetons per cell. The calculation puts the density of states at the Fermi level at 1.07 states/eV/cell. Its uncorrected energy is -44.5 eV for the cell shown.

Cell and atoms, written as CIF:
```
data_CaMg2MnH8
_symmetry_space_group_name_H-M 'P 1 2/m 1'
_symmetry_Int_Tables_number 10
_cell_length_a 4.707
_cell_length_b 4.473
_cell_length_c 5.665
_cell_angle_alpha 90.00
_cell_angle_beta 108.91
_cell_angle_gamma 90.00
loop_
_symmetry_equiv_pos_as_xyz
'x,y,z'
'-x,-y,-z'
'-x,y,-z'
'x,-y,z'
loop_
_atom_site_label
_atom_site_fract_x
_atom_site_fract_y
_atom_site_fract_z
Ca1 0.000 0.000 0.000
Mg1 0.434 0.500 0.725
Mn1 0.500 0.000 0.500
H1 0.218 0.500 0.954
H2 0.241 0.252 0.390
H3 0.452 0.000 0.778
```


Compound: AcPaBiI
Source: the Alexandria database
Functional: PBE
Structure: relaxed

Summary:
For the raw formation energy, the calculation gives -0.37 eV/atom. The density comes out at 10.39 g cm⁻³. For the calculated volume, the calculation gives 508 Å³ per cell. The total magnetic moment comes out at 8.3 Bohr magnetons per cell. The calculation puts the density of states at the Fermi level at 30.63 states/eV/cell. Its uncorrected energy is -82.1 eV for the cell shown.

Cell and atoms, written as CIF:
```
data_AcPaBiI
_symmetry_space_group_name_H-M 'F -4 3 m'
_symmetry_Int_Tables_number 216
_symmetry_space_group_name_Hall 'F -4 2 3'
_cell_length_a 7.977
_cell_length_b 7.977
_cell_length_c 7.977
_cell_angle_alpha 90.00
_cell_angle_beta 90.00
_cell_angle_gamma 90.00
loop_
_atom_site_label
_atom_site_fract_x
_atom_site_fract_y
_atom_site_fract_z
Ac1 0.000 0.000 0.000
Pa1 0.000 0.000 0.500
Bi1 0.250 0.250 0.750
I1 0.250 0.250 0.250
```